[1]
Entry from Alexandria via LeMat-Bulk: a relaxed structure of RbPt2Br (PBEsol).

Unit cell a=4.8920 b=4.8920 c=4.8920 alpha=60.00 beta=60.00 gamma=60.00
Atoms (fractional coordinates):
Rb (0.0000, 0.0000, 0.0000)
Pt (0.2500, 0.2500, 0.2500)
Pt (0.7500, 0.7500, 0.7500)
Br (0.5000, 0.5000, 0.5000)

Output
Its space group is Fm-3m. The calculation puts the uncorrected formation energy at 92.38 kJ/mol of atoms. As for the crystal system: cubic. Its density is 11143 kg/m3. The calculation puts the energy at -3.25 eV/atom.



[2]
Entry from Alexandria via LeMat-Bulk: a relaxed structure of ZrAlOs2 (PBEsol).

Unit cell a=5.2641 b=5.2641 c=5.2641 alpha=145.04 beta=131.85 gamma=60.88
Atoms (fractional coordinates):
Zr (0.0000, 0.0000, 0.0000)
Al (0.2663, 0.7663, 0.5000)
Os (0.5010, 0.5010, 0.0000)
Os (0.7475, 0.2475, 0.5000)

Output
Its space group is Imm2. As for the crystal system: orthorhombic. Its density is 13432 kg/m3. The calculation puts the energy at -9.70 eV/atom.



[3]
Entry from Alexandria via LeMat-Bulk: a relaxed structure of KCa4B3O9 (PBEsol).

Unit cell a=10.5807 b=6.5746 c=6.5746 alpha=120.88 beta=90.00 gamma=90.00
Atoms (fractional coordinates):
K (0.2500, 0.0811, 0.9189)
K (0.7500, 0.9189, 0.0811)
Ca (0.0000, 0.5320, 0.5320)
Ca (0.0288, 0.6773, 0.1047)
Ca (0.2500, 0.1065, 0.4135)
Ca (0.4712, 0.6773, 0.1047)
Ca (0.5000, 0.5320, 0.5320)
Ca (0.5288, 0.1047, 0.6773)
Ca (0.7500, 0.4135, 0.1065)
Ca (0.9712, 0.1047, 0.6773)
B (0.0000, 0.1051, 0.1051)
B (0.2500, 0.5098, 0.8563)
B (0.2500, 0.6773, 0.4357)
B (0.5000, 0.1051, 0.1051)
B (0.7500, 0.4357, 0.6773)
B (0.7500, 0.8563, 0.5098)
O (0.0000, 0.8933, 0.8933)
O (0.0263, 0.1086, 0.3138)
O (0.1372, 0.3852, 0.7684)
O (0.1369, 0.8034, 0.4723)
O (0.2500, 0.4464, 0.3801)
O (0.2500, 0.7422, 0.0376)
O (0.3628, 0.3852, 0.7684)
O (0.3631, 0.8034, 0.4723)
O (0.4737, 0.1086, 0.3138)
O (0.5000, 0.8933, 0.8933)
O (0.5263, 0.3138, 0.1086)
O (0.6369, 0.4723, 0.8034)
O (0.6372, 0.7684, 0.3852)
O (0.7500, 0.0376, 0.7422)
O (0.7500, 0.3801, 0.4464)
O (0.8631, 0.4723, 0.8034)
O (0.8628, 0.7684, 0.3852)
O (0.9737, 0.3138, 0.1086)

Output
Its space group is Ama2. The calculation puts the uncorrected formation energy at -272.96 kJ/mol of atoms. As for the crystal system: orthorhombic. Its density is 3180 kg/m3. The calculation puts the energy at -7.41 eV/atom.



[4]
Entry from Alexandria via LeMat-Bulk: a relaxed structure of ScTaMo2 (PBEsol).

Unit cell a=2.6688 b=4.6731 c=5.4620 alpha=90.00 beta=90.00 gamma=90.00
Atoms (fractional coordinates):
Sc (0.0000, 0.0000, 0.0000)
Ta (0.0000, 0.0000, 0.5000)
Mo (0.5000, 0.5000, 0.2509)
Mo (0.5000, 0.5000, 0.7491)

Output
Its space group is Pmmm. As for the crystal system: orthorhombic. Its density is 10184 kg/m3. The calculation puts the energy at -10.38 eV/atom.



Number 1: spin magnetization 0.001 μB/f.u.. Number 2: spin magnetization 0.000 μB/f.u.. Number 3: spin magnetization 0.000 μB/f.u.. Number 4: spin magnetization 0.000 μB/f.u..